1.
{
  "formula": "BaBe2Ag",
  "functional": "PBE-GGA",
  "state": "optimized geometry",
  "space_group": "F-43m",
  "total_energy_ev_per_cell": -9.1,
  "e_above_lowest_polymorph_ev_per_fu": 2.53,
  "lattice": [[0.000, 3.553, 3.553], [3.553, 0.000, 3.553], [3.553, 3.553, 0.000]],
  "species": ["Ba", "Be", "Be", "Ag"],
  "fractional_positions": [[0.000, 0.000, 0.000], [0.250, 0.250, 0.250], [0.500, 0.500, 0.500], [0.750, 0.750, 0.750]]
}

---

2.
{
  "formula": "BaBe2Ag",
  "functional": "PBE-GGA",
  "state": "optimized geometry",
  "space_group": "Cm",
  "total_energy_ev_per_cell": -11.6,
  "e_above_lowest_polymorph_ev_per_fu": 0.04,
  "lattice": [[3.607, -2.079, 0.000], [3.607, 2.079, 0.000], [-1.550, 0.000, 5.917]],
  "species": ["Ba", "Be", "Be", "Ag"],
  "fractional_positions": [[0.000, 0.000, 0.000], [0.172, 0.172, 0.534], [0.494, 0.494, 0.503], [0.814, 0.814, 0.455]]
}

---

- Which formula does entry 1 have?
  BaBe2Ag